Material: Pr2Hf3Mo9O36
Method: DFT, GGA+U
State: relaxed

Structure (POSCAR):
```
Pr2Hf3Mo9O36
1.0
21.1275 0.0500 0.0300
18.7241 9.7868 0.0300
18.7241 4.6217 8.6268
Mo O Pr Hf
18 72 4 6
Direct
0.7500 0.0330 0.4670
0.6995 0.8790 0.3495
0.0330 0.4670 0.7500
0.6210 0.8005 0.1505
0.9670 0.5330 0.2500
0.5330 0.2500 0.9670
0.4670 0.7500 0.0330
0.8790 0.3495 0.6995
0.3494 0.6995 0.8790
0.8494 0.3790 0.1995
0.2500 0.9670 0.5330
0.1995 0.8495 0.3790
0.1506 0.6210 0.8005
0.3005 0.1210 0.6505
0.6506 0.3005 0.1210
0.3790 0.1995 0.8495
0.8005 0.1505 0.6210
0.1210 0.6505 0.3005
0.8400 0.4924 0.6656
0.7748 0.5435 0.4247
0.4924 0.6656 0.8400
0.9247 0.0435 0.2748
0.7855 0.9475 0.5868
0.7919 0.5656 0.0536
0.9310 0.2372 0.1894
0.4344 0.9464 0.2081
0.8899 0.8734 0.1798
0.7372 0.4310 0.6894
0.2628 0.5690 0.3106
0.5656 0.0536 0.7919
0.6101 0.3202 0.6266
0.9924 0.3400 0.1656
0.4132 0.2145 0.0525
0.2372 0.1894 0.9310
0.0656 0.2919 0.5536
0.3202 0.6266 0.6101
0.5525 0.7145 0.9132
0.0868 0.4475 0.2855
0.5077 0.3344 0.1600
0.9132 0.5525 0.7145
0.0536 0.7919 0.5656
0.4565 0.5753 0.2252
0.6798 0.3734 0.3899
0.3899 0.6798 0.3734
0.2748 0.9247 0.0435
0.4247 0.7748 0.5435
0.8344 0.0076 0.6600
0.0690 0.7628 0.8106
0.3400 0.1656 0.9924
0.7145 0.9132 0.5525
0.4464 0.9344 0.7081
0.1266 0.8202 0.1101
0.9565 0.7252 0.0753
0.5690 0.3106 0.2628
0.3106 0.2628 0.5690
0.0525 0.4132 0.2145
0.2252 0.4565 0.5753
0.5868 0.7855 0.9475
0.0435 0.2748 0.9247
0.7628 0.8106 0.0690
0.7081 0.4464 0.9344
0.1656 0.9924 0.3400
0.9464 0.2081 0.4344
0.8106 0.0690 0.7628
0.4310 0.6894 0.7372
0.3344 0.1600 0.5076
0.2919 0.5536 0.0656
0.0076 0.6600 0.8344
0.6656 0.8400 0.4924
0.1894 0.9310 0.2372
0.2081 0.4344 0.9464
0.9344 0.7081 0.4464
0.3734 0.3899 0.6798
0.8202 0.1101 0.1266
0.5753 0.2252 0.4565
0.8734 0.1798 0.8899
0.5536 0.0656 0.2919
0.1101 0.1266 0.8202
0.1600 0.5076 0.3344
0.6894 0.7372 0.4310
0.2145 0.0525 0.4132
0.9475 0.5868 0.7855
0.7252 0.0753 0.9565
0.6600 0.8344 0.0076
0.5435 0.4247 0.7748
0.2855 0.0868 0.4475
0.0753 0.9565 0.7252
0.1798 0.8899 0.8734
0.6266 0.6101 0.3202
0.4475 0.2855 0.0868
0.8033 0.8032 0.8032
0.6967 0.6968 0.6968
0.1968 0.1968 0.1968
0.3032 0.3032 0.3032
0.9021 0.9020 0.9020
0.0000 0.0000 0.0000
0.5000 0.5000 0.5000
0.5979 0.5980 0.5980
0.4021 0.4020 0.4020
0.0979 0.0980 0.0980
```

As for the crystal system: trigonal. The electronic total energy comes out at -780.3 eV per cell.